Entry 1:
Density functional theory data (PBE) for an optimized crystal structure of AcTlSi.

Values from the calculation:
ΔE_f (raw)   -97 kJ/mol of formula units
Uncorrected energy   -4.300 eV/atom
Spin magnetization   0.00 Bohr magnetons per cell
Distance to the lowest polymorph of the same formula   0.103 eV per atom
Crystal system   trigonal
DOS at the Fermi energy   0.3 states/eV/cell

a b c (Å): 5.0295 4.5201 4.5201
angles (deg): 120.00 90.00 90.00
Last column: nearest neighbours and their distance in Å.
Atoms (fractional coordinates):
Tl 0.2569 0.3333 0.6667  3 Si 2.81
Ac 0.6947 0.6667 0.3333  3 Si 3.16, 3 Tl 3.41
Si 0.0484 0.0000 0.0000  3 Tl 2.81

Entry 2:
Density functional theory data (PBE) for an optimized crystal structure of Ac2Tl3Si.

Values from the calculation:
ΔE_f (raw)   -139 kJ/mol of formula units
Uncorrected energy   -3.696 eV/atom
Spin magnetization   0.00 Bohr magnetons per cell
Crystal system   orthorhombic
DOS at the Fermi energy   4.3 states/eV/cell

a b c (Å): 4.3158 4.9644 8.7315
angles (deg): 90.00 90.00 90.00
Last column: nearest neighbours and their distance in Å.
Atoms (fractional coordinates):
Ac 0.0000 0.5000 0.0324  2 Si 3.38, 8 Tl 3.52-3.72
Ac 0.0000 0.0000 0.4802  8 Tl 3.42-3.76, 4 Si 3.54
Tl 0.5000 0.5000 0.6488  1 Si 2.78, 2 Tl 2.95
Tl 0.5000 0.0000 0.1760  2 Si 2.82, 1 Tl 3.00
Tl 0.5000 0.0000 0.8325  3 Tl 2.95-3.00
Si 0.5000 0.5000 0.3301  3 Tl 2.78-2.82

Entry 3:
Density functional theory data (PBE) for an optimized crystal structure of Ac2TlSi.

Values from the calculation:
ΔE_f (raw)   -126 kJ/mol of formula units
Uncorrected energy   -4.328 eV/atom
Spin magnetization   0.01 Bohr magnetons per cell
Crystal system   trigonal
DOS at the Fermi energy   5.8 states/eV/cell

a b c (Å): 4.4902 4.4902 8.9209
angles (deg): 75.42 75.42 60.00
Last column: nearest neighbours and their distance in Å.
Atoms (fractional coordinates):
Ac 0.2643 0.2643 0.2071  3 Si 3.14
Ac 0.7357 0.7357 0.7929  3 Si 3.14
Tl 0.5000 0.5000 0.5000  6 Ac 3.60
Si 0.0000 0.0000 0.0000  6 Ac 3.14